a.
Computed, not measured: a PBEsol-optimized structure of CdW2Au at the meta-GGA SCAN level of DFT.

Structure (CIF):
```
data_CdW2Au
_chemical_formula_sum 'Cd1 W2 Au1'
_space_group_name_H-M_alt 'P 4/m m m'
_space_group_IT_number 123
_space_group_name_Hall '-P 4 2'
_cell_length_a 3.852
_cell_length_b 3.852
_cell_length_c 4.447
_cell_angle_alpha 90.00
_cell_angle_beta 90.00
_cell_angle_gamma 90.00
loop_
_atom_site_label
_atom_site_type_symbol
_atom_site_fract_x
_atom_site_fract_y
_atom_site_fract_z
Cd1 Cd 0.000 0.000 0.000
W1 W 0.000 0.500 0.500
Au1 Au 0.500 0.500 0.000
```

---

b.
Computed, not measured: a PBEsol-optimized structure of CdW2Au at the meta-GGA SCAN level of DFT.

Structure (CIF):
```
data_CdW2Au
_chemical_formula_sum 'Cd2 W4 Au2'
_space_group_name_H-M_alt 'I 4/m m m'
_space_group_IT_number 139
_space_group_name_Hall '-I 4 2'
_cell_length_a 3.859
_cell_length_b 3.859
_cell_length_c 8.831
_cell_angle_alpha 90.00
_cell_angle_beta 90.00
_cell_angle_gamma 90.00
loop_
_atom_site_label
_atom_site_type_symbol
_atom_site_fract_x
_atom_site_fract_y
_atom_site_fract_z
Cd1 Cd 0.000 0.000 0.000
W1 W 0.000 0.500 0.250
Au1 Au 0.000 0.000 0.500
```

---

Least stable of them? a.

---

a.
Computed, not measured: a PBEsol-optimized structure of Cd2WAu at the meta-GGA SCAN level of DFT.

Structure (CIF):
```
data_Cd2WAu
_chemical_formula_sum 'Cd2 W1 Au1'
_space_group_name_H-M_alt 'P 4/m m m'
_space_group_IT_number 123
_space_group_name_Hall '-P 4 2'
_cell_length_a 4.971
_cell_length_b 4.971
_cell_length_c 2.883
_cell_angle_alpha 90.00
_cell_angle_beta 90.00
_cell_angle_gamma 90.00
loop_
_atom_site_label
_atom_site_type_symbol
_atom_site_fract_x
_atom_site_fract_y
_atom_site_fract_z
Cd1 Cd 0.000 0.500 0.000
W1 W 0.000 0.000 0.500
Au1 Au 0.500 0.500 0.500
```

---

b.
Computed, not measured: a PBEsol-optimized structure of Cd2WAu at the meta-GGA SCAN level of DFT.

Structure (CIF):
```
data_Cd2WAu
_chemical_formula_sum 'Cd4 W2 Au2'
_space_group_name_H-M_alt 'I -4 m 2'
_space_group_IT_number 119
_space_group_name_Hall 'I -4 -2'
_cell_length_a 4.153
_cell_length_b 4.153
_cell_length_c 8.194
_cell_angle_alpha 90.00
_cell_angle_beta 90.00
_cell_angle_gamma 90.00
loop_
_atom_site_label
_atom_site_type_symbol
_atom_site_fract_x
_atom_site_fract_y
_atom_site_fract_z
Cd1 Cd 0.000 0.000 0.000
Cd2 Cd 0.000 0.500 0.250
W1 W 0.000 0.000 0.500
Au1 Au 0.000 0.500 0.750
```

---

c.
Computed, not measured: a PBEsol-optimized structure of Cd2WAu at the meta-GGA SCAN level of DFT.

Structure (CIF):
```
data_Cd2WAu
_chemical_formula_sum 'Cd2 W1 Au1'
_space_group_name_H-M_alt 'P m m m'
_space_group_IT_number 47
_space_group_name_Hall '-P 2 2'
_cell_length_a 2.956
_cell_length_b 4.879
_cell_length_c 4.910
_cell_angle_alpha 90.00
_cell_angle_beta 90.00
_cell_angle_gamma 90.00
loop_
_atom_site_label
_atom_site_type_symbol
_atom_site_fract_x
_atom_site_fract_y
_atom_site_fract_z
Cd1 Cd 0.000 0.000 0.000
Cd2 Cd 0.500 0.000 0.500
W1 W 0.000 0.500 0.500
Au1 Au 0.500 0.500 0.000
```

---

Least stable of them? b.

---

a.
Computed, not measured: a PBEsol-optimized structure of ZnCdAu at the meta-GGA SCAN level of DFT.

Structure (CIF):
```
data_ZnCdAu
_chemical_formula_sum 'Zn4 Cd4 Au4'
_space_group_name_H-M_alt 'F -4 3 m'
_space_group_IT_number 216
_space_group_name_Hall 'F -4 2 3'
_cell_length_a 6.236
_cell_length_b 6.236
_cell_length_c 6.236
_cell_angle_alpha 90.00
_cell_angle_beta 90.00
_cell_angle_gamma 90.00
loop_
_atom_site_label
_atom_site_type_symbol
_atom_site_fract_x
_atom_site_fract_y
_atom_site_fract_z
Zn1 Zn 0.000 0.000 0.000
Cd1 Cd 0.000 0.000 0.500
Au1 Au 0.250 0.250 0.750
```

---

b.
Computed, not measured: a PBEsol-optimized structure of ZnCdAu at the meta-GGA SCAN level of DFT.

Structure (CIF):
```
data_ZnCdAu
_chemical_formula_sum 'Zn1 Cd1 Au1'
_space_group_name_H-M_alt 'P -6 m 2'
_space_group_IT_number 187
_space_group_name_Hall 'P -6 2'
_cell_length_a 4.5104
_cell_length_b 4.5104
_cell_length_c 2.9035
_cell_angle_alpha 90.00
_cell_angle_beta 90.00
_cell_angle_gamma 120.00
loop_
_atom_site_label
_atom_site_type_symbol
_atom_site_fract_x
_atom_site_fract_y
_atom_site_fract_z
Zn1 Zn 0.0000 0.0000 0.0000
Cd1 Cd 0.6667 0.3333 0.5000
Au1 Au 0.3333 0.6667 0.0000
```

---

c.
Computed, not measured: a PBEsol-optimized structure of ZnCdAu at the meta-GGA SCAN level of DFT.

Structure (CIF):
```
data_ZnCdAu
_chemical_formula_sum 'Zn2 Cd2 Au2'
_space_group_name_H-M_alt 'I m m 2'
_space_group_IT_number 44
_space_group_name_Hall 'I 2 -2'
_cell_length_a 3.199
_cell_length_b 3.498
_cell_length_c 9.082
_cell_angle_alpha 90.00
_cell_angle_beta 90.00
_cell_angle_gamma 90.00
loop_
_atom_site_label
_atom_site_type_symbol
_atom_site_fract_x
_atom_site_fract_y
_atom_site_fract_z
Zn1 Zn 0.000 0.000 0.000
Cd1 Cd 0.000 0.000 0.322
Au1 Au 0.000 0.000 0.640
```

---

d.
Computed, not measured: a PBEsol-optimized structure of ZnCdAu at the meta-GGA SCAN level of DFT.

Structure (CIF):
```
data_ZnCdAu
_chemical_formula_sum 'Zn1 Cd1 Au1'
_space_group_name_H-M_alt 'P 3 m 1'
_space_group_IT_number 156
_space_group_name_Hall 'P 3 -2"'
_cell_length_a 2.9627
_cell_length_b 2.9627
_cell_length_c 6.7651
_cell_angle_alpha 90.00
_cell_angle_beta 90.00
_cell_angle_gamma 120.00
loop_
_atom_site_label
_atom_site_type_symbol
_atom_site_fract_x
_atom_site_fract_y
_atom_site_fract_z
Zn1 Zn 0.0000 0.0000 0.0000
Cd1 Cd 0.6667 0.3333 0.3385
Au1 Au 0.3333 0.6667 0.6939
```

---

Least stable of them? d.

---

a.
Computed, not measured: a PBEsol-optimized structure of ZnCdAu at the meta-GGA SCAN level of DFT.

Structure (CIF):
```
data_ZnCdAu
_chemical_formula_sum 'Zn4 Cd4 Au4'
_space_group_name_H-M_alt 'F -4 3 m'
_space_group_IT_number 216
_space_group_name_Hall 'F -4 2 3'
_cell_length_a 6.250
_cell_length_b 6.250
_cell_length_c 6.250
_cell_angle_alpha 90.00
_cell_angle_beta 90.00
_cell_angle_gamma 90.00
loop_
_atom_site_label
_atom_site_type_symbol
_atom_site_fract_x
_atom_site_fract_y
_atom_site_fract_z
Zn1 Zn 0.000 0.000 0.000
Cd1 Cd 0.250 0.250 0.250
Au1 Au 0.000 0.000 0.500
```

---

b.
Computed, not measured: a PBEsol-optimized structure of ZnCdAu at the meta-GGA SCAN level of DFT.

Structure (CIF):
```
data_ZnCdAu
_chemical_formula_sum 'Zn2 Cd2 Au2'
_space_group_name_H-M_alt 'I 4 m m'
_space_group_IT_number 107
_space_group_name_Hall 'I 4 -2'
_cell_length_a 2.988
_cell_length_b 2.988
_cell_length_c 11.379
_cell_angle_alpha 90.00
_cell_angle_beta 90.00
_cell_angle_gamma 90.00
loop_
_atom_site_label
_atom_site_type_symbol
_atom_site_fract_x
_atom_site_fract_y
_atom_site_fract_z
Zn1 Zn 0.000 0.000 0.000
Cd1 Cd 0.000 0.000 0.328
Au1 Au 0.000 0.000 0.646
```

---

Least stable of them? a.

---

a.
Computed, not measured: a PBEsol-optimized structure of Au3Cl at the meta-GGA SCAN level of DFT.

Structure (CIF):
```
data_Au3Cl
_chemical_formula_sum 'Au3 Cl1'
_space_group_name_H-M_alt 'P 1 2/m 1'
_space_group_IT_number 10
_space_group_name_Hall '-P 2y'
_cell_length_a 3.267
_cell_length_b 3.456
_cell_length_c 6.852
_cell_angle_alpha 90.00
_cell_angle_beta 90.10
_cell_angle_gamma 90.00
loop_
_atom_site_label
_atom_site_type_symbol
_atom_site_fract_x
_atom_site_fract_y
_atom_site_fract_z
Au1 Au 0.000 0.000 0.000
Au2 Au 0.499 0.500 0.791
Cl1 Cl 0.500 0.000 0.500
```

---

b.
Computed, not measured: a PBEsol-optimized structure of Au3Cl at the meta-GGA SCAN level of DFT.

Structure (CIF):
```
data_Au3Cl
_chemical_formula_sum 'Au6 Cl2'
_space_group_name_H-M_alt 'I 4/m m m'
_space_group_IT_number 139
_space_group_name_Hall '-I 4 2'
_cell_length_a 4.162
_cell_length_b 4.162
_cell_length_c 8.071
_cell_angle_alpha 90.00
_cell_angle_beta 90.00
_cell_angle_gamma 90.00
loop_
_atom_site_label
_atom_site_type_symbol
_atom_site_fract_x
_atom_site_fract_y
_atom_site_fract_z
Au1 Au 0.000 0.000 0.000
Au2 Au 0.000 0.500 0.250
Cl1 Cl 0.000 0.000 0.500
```

---

Least stable of them? b.

---

a.
Computed, not measured: a PBEsol-optimized structure of Cr2AuCl at the meta-GGA SCAN level of DFT.

Structure (CIF):
```
data_Cr2AuCl
_chemical_formula_sum 'Cr2 Au1 Cl1'
_space_group_name_H-M_alt 'P m m m'
_space_group_IT_number 47
_space_group_name_Hall '-P 2 2'
_cell_length_a 3.163
_cell_length_b 4.256
_cell_length_c 5.260
_cell_angle_alpha 90.00
_cell_angle_beta 90.00
_cell_angle_gamma 90.00
loop_
_atom_site_label
_atom_site_type_symbol
_atom_site_fract_x
_atom_site_fract_y
_atom_site_fract_z
Cr1 Cr 0.000 0.000 0.000
Cr2 Cr 0.500 0.500 0.500
Au1 Au 0.000 0.000 0.500
Cl1 Cl 0.500 0.500 0.000
```

---

b.
Computed, not measured: a PBEsol-optimized structure of Cr2AuCl at the meta-GGA SCAN level of DFT.

Structure (CIF):
```
data_Cr2AuCl
_chemical_formula_sum 'Cr2 Au1 Cl1'
_space_group_name_H-M_alt 'P 4/m m m'
_space_group_IT_number 123
_space_group_name_Hall '-P 4 2'
_cell_length_a 2.818
_cell_length_b 2.818
_cell_length_c 6.660
_cell_angle_alpha 90.00
_cell_angle_beta 90.00
_cell_angle_gamma 90.00
loop_
_atom_site_label
_atom_site_type_symbol
_atom_site_fract_x
_atom_site_fract_y
_atom_site_fract_z
Cr1 Cr 0.000 0.000 0.216
Au1 Au 0.500 0.500 0.500
Cl1 Cl 0.500 0.500 0.000
```

---

Least stable of them? b.

---

a.
Computed, not measured: a PBEsol-optimized structure of Cs2AuCl at the meta-GGA SCAN level of DFT.

Structure (CIF):
```
data_Cs2AuCl
_chemical_formula_sum 'Cs8 Au4 Cl4'
_space_group_name_H-M_alt 'I -4 2 d'
_space_group_IT_number 122
_space_group_name_Hall 'I -4 2bw'
_cell_length_a 7.856
_cell_length_b 7.856
_cell_length_c 15.305
_cell_angle_alpha 90.00
_cell_angle_beta 90.00
_cell_angle_gamma 90.00
loop_
_atom_site_label
_atom_site_type_symbol
_atom_site_fract_x
_atom_site_fract_y
_atom_site_fract_z
Cs1 Cs 0.235 0.250 0.125
Au1 Au 0.000 0.000 0.500
Cl1 Cl 0.000 0.000 0.000
```

---

b.
Computed, not measured: a PBEsol-optimized structure of Cs2AuCl at the meta-GGA SCAN level of DFT.

Structure (CIF):
```
data_Cs2AuCl
_chemical_formula_sum 'Cs8 Au4 Cl4'
_space_group_name_H-M_alt 'F m -3 m'
_space_group_IT_number 225
_space_group_name_Hall '-F 4 2 3'
_cell_length_a 8.252
_cell_length_b 8.252
_cell_length_c 8.252
_cell_angle_alpha 90.00
_cell_angle_beta 90.00
_cell_angle_gamma 90.00
loop_
_atom_site_label
_atom_site_type_symbol
_atom_site_fract_x
_atom_site_fract_y
_atom_site_fract_z
Cs1 Cs 0.250 0.250 0.250
Au1 Au 0.000 0.000 0.000
Cl1 Cl 0.000 0.000 0.500
```

---

Least stable of them? a.

---

a.
Computed, not measured: a PBEsol-optimized structure of FeAu2Cl at the meta-GGA SCAN level of DFT.

Structure (CIF):
```
data_FeAu2Cl
_chemical_formula_sum 'Fe1 Au2 Cl1'
_space_group_name_H-M_alt 'P 4/m m m'
_space_group_IT_number 123
_space_group_name_Hall '-P 4 2'
_cell_length_a 3.752
_cell_length_b 3.752
_cell_length_c 4.944
_cell_angle_alpha 90.00
_cell_angle_beta 90.00
_cell_angle_gamma 90.00
loop_
_atom_site_label
_atom_site_type_symbol
_atom_site_fract_x
_atom_site_fract_y
_atom_site_fract_z
Fe1 Fe 0.000 0.000 0.000
Au1 Au 0.000 0.500 0.500
Cl1 Cl 0.500 0.500 0.000
```

---

b.
Computed, not measured: a PBEsol-optimized structure of FeAu2Cl at the meta-GGA SCAN level of DFT.

Structure (CIF):
```
data_FeAu2Cl
_chemical_formula_sum 'Fe4 Au8 Cl4'
_space_group_name_H-M_alt 'F -4 3 m'
_space_group_IT_number 216
_space_group_name_Hall 'F -4 2 3'
_cell_length_a 6.410
_cell_length_b 6.410
_cell_length_c 6.410
_cell_angle_alpha 90.00
_cell_angle_beta 90.00
_cell_angle_gamma 90.00
loop_
_atom_site_label
_atom_site_type_symbol
_atom_site_fract_x
_atom_site_fract_y
_atom_site_fract_z
Fe1 Fe 0.000 0.000 0.000
Au1 Au 0.000 0.000 0.500
Au2 Au 0.250 0.250 0.250
Cl1 Cl 0.250 0.250 0.750
```

---

Least stable of them? b.